## CrHgB2 (PBE)

Data for an optimized crystal structure of CrHgB2.

Output
**ΔE_f**: 1.180 eV/atom
**E_tot**: -37.121 eV per cell

Cell and atoms, written as POSCAR:
```
CrHgB2
1.0
-2.7672 2.7672 3.6352
2.7672 -2.7672 3.6352
2.7672 2.7672 -3.6352
Cr Hg B
2 2 4
Cartesian
0.0000 0.0000 0.0000
0.0000 2.7672 1.8176
2.7672 0.0000 1.8176
0.0000 0.0000 3.6352
1.3836 1.1240 -0.9088
1.6432 -1.3836 4.5440
1.3836 1.6432 2.7264
1.1240 4.1508 0.9088
```